No. 1
! Sr2InOsSe6, optimized geometry, DFT GGA-PBE; values from VASP
&SYSTEM
  ibrav = 0, nat = 10, ntyp = 4
/
ATOMIC_SPECIES
Sr 87.62 Sr.upf
In 114.82 In.upf
Os 190.23 Os.upf
Se 78.96 Se.upf
CELL_PARAMETERS angstrom
6.593 0.000 0.000
2.366 6.227 0.000
2.569 1.761 6.269
ATOMIC_POSITIONS crystal
Sr 0.238 0.257 0.241
Sr 0.762 0.743 0.759
In 0.500 0.500 0.500
Os 0.000 0.000 0.000
Se 0.130 0.782 0.331
Se 0.228 0.664 0.854
Se 0.348 0.139 0.800
Se 0.652 0.861 0.200
Se 0.772 0.336 0.146
Se 0.870 0.218 0.669
! * electronic total energy: -4.575 eV/atom
! * symmetry: P-1 (2)
! * total magnetization: 0.028 μB per atom

***

No. 2
! InSn5Os3, optimized geometry, DFT GGA-PBE; values from VASP
&SYSTEM
  ibrav = 0, nat = 9, ntyp = 3
/
ATOMIC_SPECIES
In 114.82 In.upf
Sn 118.71 Sn.upf
Os 190.23 Os.upf
CELL_PARAMETERS angstrom
5.482 0.000 0.000
-2.741 4.748 0.000
0.000 0.000 8.090
ATOMIC_POSITIONS crystal
In 0.000 0.000 0.000
Sn 0.000 0.000 0.500
Sn 0.333 0.667 0.211
Sn 0.333 0.667 0.789
Sn 0.667 0.333 0.211
Sn 0.667 0.333 0.789
Os 0.000 0.500 0.500
Os 0.500 0.000 0.500
Os 0.500 0.500 0.500
! * electronic total energy: -5.946 eV/atom
! * symmetry: P6/mmm (191)
! * total magnetization: 0.177 μB per atom

***

No. 3
! InSnOs, optimized geometry, DFT GGA-PBE; values from VASP
&SYSTEM
  ibrav = 0, nat = 12, ntyp = 3
/
ATOMIC_SPECIES
In 114.82 In.upf
Sn 118.71 Sn.upf
Os 190.23 Os.upf
CELL_PARAMETERS angstrom
6.415 0.000 0.000
0.000 6.415 0.000
0.000 0.000 6.415
ATOMIC_POSITIONS crystal
In 0.000 0.000 0.000
In 0.000 0.500 0.500
In 0.500 0.000 0.500
In 0.500 0.500 0.000
Sn 0.000 0.000 0.500
Sn 0.000 0.500 0.000
Sn 0.500 0.000 0.000
Sn 0.500 0.500 0.500
Os 0.250 0.250 0.250
Os 0.250 0.750 0.750
Os 0.750 0.250 0.750
Os 0.750 0.750 0.250
! * electronic total energy: -5.708 eV/atom
! * symmetry: F-43m (216)
! * total magnetization: 0.001 μB per atom
! * energy relative to the lowest polymorph listed for this composition: 0.00 eV/f.u.

***

No. 4
! SrInOs, optimized geometry, DFT GGA-PBE; values from VASP
&SYSTEM
  ibrav = 0, nat = 12, ntyp = 3
/
ATOMIC_SPECIES
Sr 87.62 Sr.upf
In 114.82 In.upf
Os 190.23 Os.upf
CELL_PARAMETERS angstrom
6.807 0.000 0.000
0.000 6.807 0.000
0.000 0.000 6.807
ATOMIC_POSITIONS crystal
Sr 0.000 0.000 0.000
Sr 0.000 0.500 0.500
Sr 0.500 0.000 0.500
Sr 0.500 0.500 0.000
In 0.000 0.000 0.500
In 0.000 0.500 0.000
In 0.500 0.000 0.000
In 0.500 0.500 0.500
Os 0.250 0.250 0.750
Os 0.250 0.750 0.250
Os 0.750 0.250 0.250
Os 0.750 0.750 0.750
! * electronic total energy: -4.603 eV/atom
! * symmetry: F-43m (216)
! * total magnetization: 0.035 μB per atom

***

No. 5
! TaInOs, optimized geometry, DFT GGA-PBE; values from VASP
&SYSTEM
  ibrav = 0, nat = 12, ntyp = 3
/
ATOMIC_SPECIES
Ta 180.95 Ta.upf
In 114.82 In.upf
Os 190.23 Os.upf
CELL_PARAMETERS angstrom
6.287 0.000 0.000
0.000 6.287 0.000
0.000 0.000 6.287
ATOMIC_POSITIONS crystal
Ta 0.000 0.000 0.000
Ta 0.000 0.500 0.500
Ta 0.500 0.000 0.500
Ta 0.500 0.500 0.000
In 0.250 0.250 0.750
In 0.250 0.750 0.250
In 0.750 0.250 0.250
In 0.750 0.750 0.750
Os 0.250 0.250 0.250
Os 0.250 0.750 0.750
Os 0.750 0.250 0.750
Os 0.750 0.750 0.250
! * electronic total energy: -7.939 eV/atom
! * symmetry: F-43m (216)
! * total magnetization: 0.001 μB per atom

***

No. 6
! Ta2InOs, optimized geometry, DFT GGA-PBE; values from VASP
&SYSTEM
  ibrav = 0, nat = 16, ntyp = 3
/
ATOMIC_SPECIES
Ta 180.95 Ta.upf
In 114.82 In.upf
Os 190.23 Os.upf
CELL_PARAMETERS angstrom
6.557 0.000 0.000
0.000 6.557 0.000
0.000 0.000 6.557
ATOMIC_POSITIONS crystal
Ta 0.000 0.000 0.000
Ta 0.000 0.500 0.500
Ta 0.250 0.250 0.250
Ta 0.250 0.750 0.750
Ta 0.500 0.000 0.500
Ta 0.500 0.500 0.000
Ta 0.750 0.250 0.750
Ta 0.750 0.750 0.250
In 0.000 0.000 0.500
In 0.000 0.500 0.000
In 0.500 0.000 0.000
In 0.500 0.500 0.500
Os 0.250 0.250 0.750
Os 0.250 0.750 0.250
Os 0.750 0.250 0.250
Os 0.750 0.750 0.750
! * electronic total energy: -9.177 eV/atom
! * symmetry: F-43m (216)
! * total magnetization: 0.149 μB per atom

***

No. 7
! TbInOs, optimized geometry, DFT GGA-PBE; values from VASP
&SYSTEM
  ibrav = 0, nat = 12, ntyp = 3
/
ATOMIC_SPECIES
Tb 158.93 Tb.upf
In 114.82 In.upf
Os 190.23 Os.upf
CELL_PARAMETERS angstrom
6.596 0.000 0.000
0.000 6.596 0.000
0.000 0.000 6.596
ATOMIC_POSITIONS crystal
Tb 0.000 0.000 0.000
Tb 0.000 0.500 0.500
Tb 0.500 0.000 0.500
Tb 0.500 0.500 0.000
In 0.250 0.250 0.750
In 0.250 0.750 0.250
In 0.750 0.250 0.250
In 0.750 0.750 0.750
Os 0.000 0.000 0.500
Os 0.000 0.500 0.000
Os 0.500 0.000 0.000
Os 0.500 0.500 0.500
! * electronic total energy: -5.709 eV/atom
! * symmetry: F-43m (216)
! * total magnetization: 0.001 μB per atom

***

No. 8
! In2TcOs, optimized geometry, DFT GGA-PBE; values from VASP
&SYSTEM
  ibrav = 0, nat = 16, ntyp = 3
/
ATOMIC_SPECIES
In 114.82 In.upf
Tc 98.00 Tc.upf
Os 190.23 Os.upf
CELL_PARAMETERS angstrom
6.535 0.000 0.000
0.000 6.535 0.000
0.000 0.000 6.535
ATOMIC_POSITIONS crystal
In 0.000 0.000 0.000
In 0.000 0.500 0.500
In 0.250 0.250 0.250
In 0.250 0.750 0.750
In 0.500 0.000 0.500
In 0.500 0.500 0.000
In 0.750 0.250 0.750
In 0.750 0.750 0.250
Tc 0.250 0.250 0.750
Tc 0.250 0.750 0.250
Tc 0.750 0.250 0.250
Tc 0.750 0.750 0.750
Os 0.000 0.000 0.500
Os 0.000 0.500 0.000
Os 0.500 0.000 0.000
Os 0.500 0.500 0.500
! * electronic total energy: -6.109 eV/atom
! * symmetry: F-43m (216)
! * total magnetization: 0.112 μB per atom

***

No. 9
! In10Te10Os, optimized geometry, DFT GGA-PBE; values from VASP
&SYSTEM
  ibrav = 0, nat = 42, ntyp = 3
/
ATOMIC_SPECIES
In 114.82 In.upf
Te 127.60 Te.upf
Os 190.23 Os.upf
CELL_PARAMETERS angstrom
12.935 0.000 0.000
0.000 13.477 0.000
0.000 0.000 7.748
ATOMIC_POSITIONS crystal
In 0.000 0.000 0.223
In 0.000 0.000 0.777
In 0.104 0.403 0.265
In 0.104 0.403 0.735
In 0.139 0.712 0.000
In 0.159 0.621 0.500
In 0.341 0.121 0.500
In 0.361 0.212 0.000
In 0.396 0.903 0.265
In 0.396 0.903 0.735
In 0.500 0.500 0.223
In 0.500 0.500 0.777
In 0.604 0.097 0.265
In 0.604 0.097 0.735
In 0.639 0.788 0.000
In 0.659 0.879 0.500
In 0.841 0.379 0.500
In 0.861 0.288 0.000
In 0.896 0.597 0.265
In 0.896 0.597 0.735
Te 0.076 0.253 0.000
Te 0.113 0.124 0.500
Te 0.174 0.833 0.296
Te 0.174 0.833 0.704
Te 0.226 0.525 0.000
Te 0.274 0.025 0.000
Te 0.326 0.333 0.296
Te 0.326 0.333 0.704
Te 0.387 0.624 0.500
Te 0.424 0.753 0.000
Te 0.576 0.247 0.000
Te 0.613 0.376 0.500
Te 0.674 0.667 0.296
Te 0.674 0.667 0.704
Te 0.726 0.975 0.000
Te 0.774 0.475 0.000
Te 0.826 0.167 0.296
Te 0.826 0.167 0.704
Te 0.887 0.876 0.500
Te 0.924 0.747 0.000
Os 0.000 0.500 0.500
Os 0.500 0.000 0.500
! * electronic total energy: -3.460 eV/atom
! * symmetry: Pbam (55)
! * total magnetization: 0.000 μB per atom

***

No. 10
! Th6In2Os, optimized geometry, DFT GGA-PBE; values from VASP
&SYSTEM
  ibrav = 0, nat = 9, ntyp = 3
/
ATOMIC_SPECIES
Th 232.04 Th.upf
In 114.82 In.upf
Os 190.23 Os.upf
CELL_PARAMETERS angstrom
8.920 0.000 0.000
-4.460 7.725 0.000
0.000 0.000 3.809
ATOMIC_POSITIONS crystal
Th 0.000 0.393 0.000
Th 0.000 0.754 0.500
Th 0.246 0.246 0.500
Th 0.393 0.000 0.000
Th 0.607 0.607 0.000
Th 0.754 0.000 0.500
In 0.333 0.667 0.500
In 0.667 0.333 0.500
Os 0.000 0.000 0.000
! * electronic total energy: -7.062 eV/atom
! * symmetry: P-62m (189)
! * total magnetization: 0.000 μB per atom

***

No. 11
! Tm4TlIn4Os2, optimized geometry, DFT GGA-PBE; values from VASP
&SYSTEM
  ibrav = 0, nat = 11, ntyp = 4
/
ATOMIC_SPECIES
Tm 168.93 Tm.upf
Tl 204.38 Tl.upf
In 114.82 In.upf
Os 190.23 Os.upf
CELL_PARAMETERS angstrom
7.747 0.000 0.000
0.000 3.533 0.000
-0.679 0.000 9.613
ATOMIC_POSITIONS crystal
Tm 0.175 0.000 0.350
Tm 0.214 0.000 0.940
Tm 0.786 0.000 0.060
Tm 0.825 0.000 0.650
Tl 0.500 0.500 0.500
In 0.167 0.500 0.652
In 0.448 0.500 0.169
In 0.552 0.500 0.831
In 0.833 0.500 0.348
Os 0.074 0.500 0.138
Os 0.926 0.500 0.862
! * electronic total energy: -5.181 eV/atom
! * symmetry: P2/m (10)
! * total magnetization: 0.000 μB per atom

***

No. 12
! Tm6In2Os, optimized geometry, DFT GGA-PBE; values from VASP
&SYSTEM
  ibrav = 0, nat = 9, ntyp = 3
/
ATOMIC_SPECIES
Tm 168.93 Tm.upf
In 114.82 In.upf
Os 190.23 Os.upf
CELL_PARAMETERS angstrom
8.375 0.000 0.000
-4.187 7.253 0.000
0.000 0.000 3.931
ATOMIC_POSITIONS crystal
Tm 0.000 0.383 0.000
Tm 0.000 0.757 0.500
Tm 0.243 0.243 0.500
Tm 0.383 0.000 0.000
Tm 0.617 0.617 0.000
Tm 0.757 0.000 0.500
In 0.333 0.667 0.500
In 0.667 0.333 0.500
Os 0.000 0.000 0.000
! * electronic total energy: -5.192 eV/atom
! * symmetry: P-62m (189)
! * total magnetization: 0.024 μB per atom

***

No. 13
! TmInOs, optimized geometry, DFT GGA-PBE; values from VASP
&SYSTEM
  ibrav = 0, nat = 12, ntyp = 3
/
ATOMIC_SPECIES
Tm 168.93 Tm.upf
In 114.82 In.upf
Os 190.23 Os.upf
CELL_PARAMETERS angstrom
6.627 0.000 0.000
0.000 6.627 0.000
0.000 0.000 6.627
ATOMIC_POSITIONS crystal
Tm 0.000 0.000 0.000
Tm 0.000 0.500 0.500
Tm 0.500 0.000 0.500
Tm 0.500 0.500 0.000
In 0.250 0.250 0.750
In 0.250 0.750 0.250
In 0.750 0.250 0.250
In 0.750 0.750 0.750
Os 0.250 0.250 0.250
Os 0.250 0.750 0.750
Os 0.750 0.250 0.750
Os 0.750 0.750 0.250
! * electronic total energy: -5.439 eV/atom
! * symmetry: F-43m (216)
! * total magnetization: 0.001 μB per atom

***

No. 14
! InOs2W, optimized geometry, DFT GGA-PBE; values from VASP
&SYSTEM
  ibrav = 0, nat = 16, ntyp = 3
/
ATOMIC_SPECIES
In 114.82 In.upf
Os 190.23 Os.upf
W 183.84 W.upf
CELL_PARAMETERS angstrom
6.372 0.000 0.000
0.000 6.372 0.000
0.000 0.000 6.372
ATOMIC_POSITIONS crystal
In 0.000 0.000 0.000
In 0.000 0.500 0.500
In 0.500 0.000 0.500
In 0.500 0.500 0.000
Os 0.000 0.000 0.500
Os 0.000 0.500 0.000
Os 0.250 0.250 0.750
Os 0.250 0.750 0.250
Os 0.500 0.000 0.000
Os 0.500 0.500 0.500
Os 0.750 0.250 0.250
Os 0.750 0.750 0.750
W 0.250 0.250 0.250
W 0.250 0.750 0.750
W 0.750 0.250 0.750
W 0.750 0.750 0.250
! * electronic total energy: -8.799 eV/atom
! * symmetry: F-43m (216)
! * total magnetization: 0.002 μB per atom

***

No. 15
! ZnInOs2, optimized geometry, DFT GGA-PBE; values from VASP
&SYSTEM
  ibrav = 0, nat = 16, ntyp = 3
/
ATOMIC_SPECIES
Zn 65.41 Zn.upf
In 114.82 In.upf
Os 190.23 Os.upf
CELL_PARAMETERS angstrom
6.323 0.000 0.000
0.000 6.323 0.000
0.000 0.000 6.323
ATOMIC_POSITIONS crystal
Zn 0.000 0.000 0.000
Zn 0.000 0.500 0.500
Zn 0.500 0.000 0.500
Zn 0.500 0.500 0.000
In 0.250 0.250 0.750
In 0.250 0.750 0.250
In 0.750 0.250 0.250
In 0.750 0.750 0.750
Os 0.000 0.000 0.500
Os 0.000 0.500 0.000
Os 0.250 0.250 0.250
Os 0.250 0.750 0.750
Os 0.500 0.000 0.000
Os 0.500 0.500 0.500
Os 0.750 0.250 0.750
Os 0.750 0.750 0.250
! * electronic total energy: -6.025 eV/atom
! * symmetry: F-43m (216)
! * total magnetization: 0.086 μB per atom

***

No. 16
! ZnInOs, optimized geometry, DFT GGA-PBE; values from VASP
&SYSTEM
  ibrav = 0, nat = 12, ntyp = 3
/
ATOMIC_SPECIES
Zn 65.41 Zn.upf
In 114.82 In.upf
Os 190.23 Os.upf
CELL_PARAMETERS angstrom
6.188 0.000 0.000
0.000 6.188 0.000
0.000 0.000 6.188
ATOMIC_POSITIONS crystal
Zn 0.000 0.000 0.000
Zn 0.000 0.500 0.500
Zn 0.500 0.000 0.500
Zn 0.500 0.500 0.000
In 0.000 0.000 0.500
In 0.000 0.500 0.000
In 0.500 0.000 0.000
In 0.500 0.500 0.500
Os 0.250 0.250 0.750
Os 0.250 0.750 0.250
Os 0.750 0.250 0.250
Os 0.750 0.750 0.750
! * electronic total energy: -4.502 eV/atom
! * symmetry: F-43m (216)
! * total magnetization: 0.005 μB per atom

***

No. 17
! Zr2InOs, optimized geometry, DFT GGA-PBE; values from VASP
&SYSTEM
  ibrav = 0, nat = 16, ntyp = 3
/
ATOMIC_SPECIES
Zr 91.22 Zr.upf
In 114.82 In.upf
Os 190.23 Os.upf
CELL_PARAMETERS angstrom
6.782 0.000 0.000
0.000 6.782 0.000
0.000 0.000 6.782
ATOMIC_POSITIONS crystal
Zr 0.000 0.000 0.000
Zr 0.000 0.500 0.500
Zr 0.250 0.250 0.250
Zr 0.250 0.750 0.750
Zr 0.500 0.000 0.500
Zr 0.500 0.500 0.000
Zr 0.750 0.250 0.750
Zr 0.750 0.750 0.250
In 0.000 0.000 0.500
In 0.000 0.500 0.000
In 0.500 0.000 0.000
In 0.500 0.500 0.500
Os 0.250 0.250 0.750
Os 0.250 0.750 0.250
Os 0.750 0.250 0.250
Os 0.750 0.750 0.750
! * electronic total energy: -7.825 eV/atom
! * symmetry: F-43m (216)
! * total magnetization: 0.240 μB per atom

***

No. 18
! In2P2Pd, optimized geometry, DFT GGA-PBE; values from VASP
&SYSTEM
  ibrav = 0, nat = 10, ntyp = 3
/
ATOMIC_SPECIES
In 114.82 In.upf
P 30.97 P.upf
Pd 106.42 Pd.upf
CELL_PARAMETERS angstrom
2.596 -7.631 0.000
2.596 7.631 0.000
0.000 0.000 5.740
ATOMIC_POSITIONS crystal
In 0.077 0.923 0.750
In 0.286 0.714 0.250
In 0.714 0.286 0.750
In 0.923 0.077 0.250
P 0.181 0.407 0.750
P 0.407 0.181 0.250
P 0.593 0.819 0.750
P 0.819 0.593 0.250
Pd 0.500 0.500 0.000
Pd 0.500 0.500 0.500
! * electronic total energy: -4.314 eV/atom
! * symmetry: Cmcm (63)

***

No. 19
! InP5Pd3, optimized geometry, DFT GGA-PBE; values from VASP
&SYSTEM
  ibrav = 0, nat = 9, ntyp = 3
/
ATOMIC_SPECIES
In 114.82 In.upf
P 30.97 P.upf
Pd 106.42 Pd.upf
CELL_PARAMETERS angstrom
5.923 0.000 0.000
-2.961 5.129 0.000
0.000 0.000 5.453
ATOMIC_POSITIONS crystal
In 0.000 0.000 0.000
P 0.000 0.000 0.500
P 0.333 0.667 0.187
P 0.333 0.667 0.813
P 0.667 0.333 0.187
P 0.667 0.333 0.813
Pd 0.000 0.500 0.500
Pd 0.500 0.000 0.500
Pd 0.500 0.500 0.500
! * electronic total energy: -4.985 eV/atom
! * symmetry: P6/mmm (191)

***

No. 20
! InPPt5, optimized geometry, DFT GGA-PBE; values from VASP
&SYSTEM
  ibrav = 0, nat = 7, ntyp = 3
/
ATOMIC_SPECIES
In 114.82 In.upf
P 30.97 P.upf
Pt 195.08 Pt.upf
CELL_PARAMETERS angstrom
4.005 0.000 0.000
0.000 4.005 0.000
0.000 0.000 7.075
ATOMIC_POSITIONS crystal
In 0.000 0.000 0.000
P 0.500 0.500 0.500
Pt 0.000 0.500 0.297
Pt 0.000 0.500 0.703
Pt 0.500 0.000 0.297
Pt 0.500 0.000 0.703
Pt 0.500 0.500 0.000
! * electronic total energy: -5.931 eV/atom
! * symmetry: P4/mmm (123)
! * total magnetization: 0.000 μB per atom